Here is Cs2NaHf at its PBEsol-relaxed geometry from Alexandria. Energies are from SCAN.

a = 6.458 Å, b = 6.458 Å, c = 6.458 Å
α = 60.00°, β = 60.00°, γ = 60.00°
Fractional coordinates of all 4 atoms:
1 Cs 0.250 0.250 0.250
2 Cs 0.750 0.750 0.750
3 Na 0.000 0.000 0.000
4 Hf 0.500 0.500 0.500

Values from the calculation:
DFT formation energy: 1.213 eV/atom
electronic total energy: -137.66 eV for the cell shown
SG: No. 225
spin magnetization: 3.0 μB per formula unit

Here is TaRh3Au at its PBEsol-relaxed geometry from Alexandria. Energies are from SCAN.

a = 4.659 Å, b = 4.659 Å, c = 4.659 Å
α = 90.00°, β = 90.00°, γ = 90.00°
Fractional coordinates of all 5 atoms:
1 Ta 0.000 0.000 0.000
2 Rh 0.000 0.500 0.500
3 Rh 0.500 0.000 0.500
4 Rh 0.500 0.500 0.000
5 Au 0.500 0.500 0.500

Values from the calculation:
DFT formation energy: 1.902 eV/atom
electronic total energy: -227.54 eV for the cell shown
SG: No. 221
spin magnetization: 0.0 μB per formula unit

Here is NaYP2 at its PBEsol-relaxed geometry from Alexandria. Energies are from SCAN.

a = 4.792 Å, b = 4.792 Å, c = 4.792 Å
α = 60.00°, β = 60.00°, γ = 60.00°
Fractional coordinates of all 4 atoms:
1 Na 0.000 0.000 0.000
2 Y 0.500 0.500 0.500
3 P 0.250 0.250 0.250
4 P 0.750 0.750 0.750

Values from the calculation:
DFT formation energy: -0.638 eV/atom
distance to the lowest polymorph of the same formula: 0 meV per atom
electronic total energy: -55.41 eV for the cell shown
SG: No. 225
spin magnetization: 0.0 μB per formula unit

Here is CaCu3O4 at its PBEsol-relaxed geometry from Alexandria. Energies are from SCAN.

a = 5.512 Å, b = 5.512 Å, c = 5.512 Å
α = 90.00°, β = 90.00°, γ = 90.00°
Fractional coordinates of all 16 atoms:
1 Ca 0.000 0.000 0.000
2 Ca 0.500 0.500 0.500
3 Cu 0.000 0.250 0.500
4 Cu 0.000 0.750 0.500
5 Cu 0.250 0.500 0.000
6 Cu 0.500 0.000 0.250
7 Cu 0.500 0.000 0.750
8 Cu 0.750 0.500 0.000
9 O 0.250 0.250 0.250
10 O 0.250 0.250 0.750
11 O 0.250 0.750 0.250
12 O 0.250 0.750 0.750
13 O 0.750 0.250 0.250
14 O 0.750 0.250 0.750
15 O 0.750 0.750 0.250
16 O 0.750 0.750 0.750

Values from the calculation:
ΔE_f (raw): -11.222 eV/f.u.
electronic total energy: -182.82 eV for the cell shown
SG: No. 223
spin magnetization: 0.0 μB per formula unit